Here is a relaxed HfTh2Ge2N2 crystal from Alexandria via LeMat-Bulk. Energies are from PBE-GGA.

Cell lengths 4.2511, 4.2511, 15.0023 Å; angles 90.00, 90.00, 90.00 degrees
Closest atoms and distances in Å follow each position.
Space group I4/mmm (No. 139)
Symmetry-distinct sites (fractional):
Hf 0.0000 0.0000 0.0000 (multiplicity 2)  4 N 2.13
Th 0.0000 0.0000 0.3854 (multiplicity 4)  4 N 2.73, 1 Ge 2.92
Ge 0.0000 0.0000 0.1908 (multiplicity 4)  1 Hf 2.86, 1 Th 2.92
N 0.0000 0.5000 0.0000 (multiplicity 4)  2 Hf 2.13

**VASP energy**: -8.2379 eV per atom
**Formation energy without anion corrections**: -1.00 eV per atom